Record 1
The following is a GGA-PBE calculation of a relaxed structure of InP5Pt3, from the Open Quantum Materials Database.

extended XYZ file:
```
9
Lattice="-0.3094 -3.9024 4.6952 -2.4333 -1.5152 -5.3993 4.6114 -2.1426 -1.4769" Properties=species:S:1:pos:R:3 pbc="T T T"
In 0.0000 0.0000 0.0000
P -0.1011 -3.5324 1.0369
P -0.8091 -2.7367 -2.3279
P 2.3057 -1.0713 -0.7385
P 2.6778 -4.8236 0.1468
P 1.9699 -4.0278 -3.2180
Pt 2.1510 -3.0225 1.6091
Pt 1.0891 -1.8289 -3.4381
Pt 0.9344 -3.7801 -1.0905
```

Properties
Raw total energy = -5.254 eV per atom
Spin magnetization = 0.02 Bohr magnetons per cell
V = 19.04 Å³ per atom

***

Record 2
The following is a GGA-PBE calculation of a relaxed structure of Ta3InP5, from the Open Quantum Materials Database.

extended XYZ file:
```
9
Lattice="5.7643 0.0000 0.0000 -2.8821 4.9920 0.0000 0.0000 0.0000 5.9310" Properties=species:S:1:pos:R:3 pbc="T T T"
In 0.0000 0.0000 0.0000
P 2.8821 1.6640 1.0806
P 0.0000 3.3280 1.0806
P 0.0000 0.0000 2.9655
P 2.8821 1.6640 4.8504
P 0.0000 3.3280 4.8504
Ta 2.8821 0.0000 2.9655
Ta -1.4411 2.4960 2.9655
Ta 1.4411 2.4960 2.9655
```

Properties
Raw total energy = -7.436 eV per atom
Spin magnetization = 0.00 Bohr magnetons per cell
V = 18.96 Å³ per atom